The following is a DFT calculation (GGA-PBE) of a relaxed Hf5PaN4 crystal.

- formation energy (no corrections) (meV/atom) = -1368

Lattice parameters (Å, degrees): 3.277 6.613 7.260 103.61 103.04 90.00
Atoms (fractional coordinates):
Hf1 0.828 0.673 0.656
Hf2 0.832 0.156 0.664
Hf3 0.168 0.844 0.336
Hf4 0.500 0.500 0.000
Hf5 0.172 0.327 0.344
Pa1 0.500 0.000 0.000
N1 0.329 0.916 0.657
N2 0.997 0.731 0.994
N3 0.671 0.084 0.343
N4 0.003 0.269 0.006